No. 1
Density functional theory data (GGA-PBE) for crystalline LaAl2Cu2 at its relaxed geometry. Values from VASP.

Summary:
The energy of formation from the pure elements is -2.010 eV/f.u. Its space group is I4/mmm (139). The total energy comes out at -22.62 eV/f.u.

The structure in Quantum ESPRESSO input format:
```
&SYSTEM
  ibrav = 0, nat = 5, ntyp = 3
/
ATOMIC_SPECIES
La 138.91 La.upf
Al 26.98 Al.upf
Cu 63.55 Cu.upf
CELL_PARAMETERS angstrom
-2.718 -0.394 -3.113
-2.428 -2.345 2.417
-5.197 3.122 1.374
ATOMIC_POSITIONS crystal
La 0.000 0.000 0.000
Al 0.750 0.250 0.500
Cu 0.617 0.617 0.766
Al 0.250 0.750 0.500
Cu 0.383 0.383 0.234
```

No. 2
Density functional theory data (GGA-PBE) for crystalline CaIn2P2 at its relaxed geometry. Values from VASP.

Summary:
The energy of formation from the pure elements is -1.104 eV/f.u. Its space group is P4/mbm (127). The total energy comes out at -19.40 eV/f.u.

The structure in Quantum ESPRESSO input format:
```
&SYSTEM
  ibrav = 0, nat = 10, ntyp = 3
/
ATOMIC_SPECIES
In 114.82 In.upf
P 30.97 P.upf
Ca 40.08 Ca.upf
CELL_PARAMETERS angstrom
-0.595 -7.227 2.311
7.584 -0.495 0.404
-0.118 1.180 3.661
ATOMIC_POSITIONS crystal
In 0.354 0.146 0.500
P 0.840 0.660 0.000
In 0.854 0.354 0.500
In 0.646 0.854 0.500
P 0.660 0.160 0.000
Ca 0.000 0.000 0.000
P 0.160 0.340 0.000
P 0.340 0.840 0.000
In 0.146 0.646 0.500
Ca 0.500 0.500 0.000
```

No. 3
Density functional theory data (GGA-PBE) for crystalline Dy5Y3H12 at its relaxed geometry. Values from VASP.

Summary:
Its space group is Ia-3d (230). The total energy comes out at -92.07 eV/f.u.

The structure in Quantum ESPRESSO input format:
```
&SYSTEM
  ibrav = 0, nat = 80, ntyp = 3
/
ATOMIC_SPECIES
H 1.01 H.upf
Y 88.91 Y.upf
Dy 162.50 Dy.upf
CELL_PARAMETERS angstrom
-4.928 0.362 10.187
5.093 -10.018 -1.375
7.686 8.278 -0.770
ATOMIC_POSITIONS crystal
H 0.658 0.435 0.590
Y 0.875 0.750 0.125
H 0.910 0.842 0.565
H 0.277 0.846 0.935
H 0.277 0.432 0.842
H 0.658 0.223 0.568
Dy 0.875 0.625 0.750
H 0.590 0.935 0.658
Y 0.750 0.875 0.625
H 0.090 0.158 0.435
H 0.568 0.723 0.658
H 0.065 0.654 0.723
H 0.910 0.068 0.846
Dy 0.250 0.875 0.125
Dy 0.250 0.375 0.625
H 0.090 0.932 0.154
Y 0.250 0.125 0.375
Dy 0.500 0.000 0.500
Y 0.125 0.875 0.750
Dy 0.875 0.250 0.625
Dy 0.750 0.125 0.875
H 0.068 0.158 0.223
H 0.565 0.342 0.910
Dy 0.375 0.250 0.125
Dy 0.000 0.000 0.500
H 0.932 0.090 0.654
Y 0.125 0.250 0.875
H 0.777 0.342 0.932
H 0.342 0.777 0.432
Dy 0.500 0.500 0.000
H 0.223 0.565 0.654
H 0.842 0.910 0.065
H 0.932 0.842 0.777
H 0.777 0.435 0.346
H 0.346 0.410 0.068
Y 0.250 0.625 0.875
Dy 0.125 0.750 0.375
H 0.158 0.090 0.935
Dy 0.500 0.500 0.500
H 0.846 0.568 0.910
Dy 0.000 0.500 0.000
Dy 0.750 0.625 0.375
H 0.154 0.432 0.090
H 0.346 0.935 0.777
H 0.842 0.932 0.277
Y 0.375 0.750 0.625
H 0.432 0.154 0.590
Y 0.625 0.375 0.750
H 0.432 0.277 0.342
H 0.590 0.654 0.432
H 0.342 0.565 0.410
H 0.654 0.065 0.223
H 0.410 0.346 0.568
Dy 0.625 0.750 0.875
Dy 0.625 0.875 0.250
Dy 0.375 0.125 0.750
Y 0.750 0.375 0.125
H 0.154 0.723 0.565
H 0.068 0.910 0.346
Dy 0.000 0.500 0.500
H 0.723 0.154 0.065
Y 0.375 0.625 0.250
H 0.410 0.065 0.342
Y 0.875 0.125 0.250
H 0.723 0.568 0.158
H 0.654 0.590 0.932
Dy 0.000 0.000 0.000
Y 0.625 0.250 0.375
H 0.065 0.410 0.842
H 0.935 0.346 0.277
H 0.846 0.277 0.435
H 0.435 0.777 0.846
H 0.223 0.658 0.068
H 0.935 0.590 0.158
H 0.435 0.658 0.090
H 0.568 0.846 0.410
Dy 0.125 0.375 0.250
H 0.565 0.223 0.154
Dy 0.500 0.000 0.000
H 0.158 0.068 0.723
```

No. 4
Density functional theory data (GGA-PBE) for crystalline Sr2TlFe at its relaxed geometry. Values from VASP.

Summary:
The energy of formation from the pure elements is 0.970 eV/f.u. Its space group is P4/mmm (123). The total energy comes out at -13.22 eV/f.u.

The structure in Quantum ESPRESSO input format:
```
&SYSTEM
  ibrav = 0, nat = 4, ntyp = 3
/
ATOMIC_SPECIES
Fe 55.84 Fe.upf
Tl 204.38 Tl.upf
Sr 87.62 Sr.upf
CELL_PARAMETERS angstrom
-0.239 -3.710 0.373
1.806 0.212 3.264
-7.685 0.916 4.193
ATOMIC_POSITIONS crystal
Fe 0.500 0.500 0.750
Tl 0.500 0.500 0.250
Sr 0.000 0.000 0.523
Sr 0.000 0.000 0.977
```

No. 5
Density functional theory data (GGA-PBE) for crystalline Sc2In at its relaxed geometry. Values from VASP.

Summary:
The energy of formation from the pure elements is -0.109 eV/f.u. Its space group is Imma (74). The total energy comes out at -15.51 eV/f.u.

The structure in Quantum ESPRESSO input format:
```
&SYSTEM
  ibrav = 0, nat = 6, ntyp = 2
/
ATOMIC_SPECIES
Sc 44.96 Sc.upf
In 114.82 In.upf
CELL_PARAMETERS angstrom
-0.479 -10.828 1.382
-0.799 -8.751 6.493
-1.890 9.520 -5.017
ATOMIC_POSITIONS crystal
Sc 0.565 0.815 0.750
In 0.143 0.393 0.750
In 0.857 0.607 0.250
Sc 0.295 0.045 0.250
Sc 0.435 0.185 0.250
Sc 0.705 0.955 0.750
```

No. 6
Density functional theory data (GGA-PBE) for crystalline TbCuAg2 at its relaxed geometry. Values from VASP.

Summary:
The energy of formation from the pure elements is -0.465 eV/f.u. Its space group is R-3m (166). Its energy above the most stable polymorph in this dataset is 126.8 meV/atom. The total energy comes out at -14.89 eV/f.u.

The structure in Quantum ESPRESSO input format:
```
&SYSTEM
  ibrav = 0, nat = 4, ntyp = 3
/
ATOMIC_SPECIES
Ag 107.87 Ag.upf
Cu 63.55 Cu.upf
Tb 158.93 Tb.upf
CELL_PARAMETERS angstrom
-2.799 -0.815 -3.514
-0.528 -4.259 -1.558
-4.512 -2.314 1.165
ATOMIC_POSITIONS crystal
Ag 0.778 0.778 0.665
Ag 0.222 0.222 0.335
Cu 0.500 0.500 0.500
Tb 0.000 0.000 0.000
```

No. 7
Density functional theory data (GGA-PBE) for crystalline Ho2TiRh4 at its relaxed geometry. Values from VASP.

Summary:
The energy of formation from the pure elements is -4.100 eV/f.u. Its space group is R-3m (166). The total energy comes out at -50.56 eV/f.u.

The structure in Quantum ESPRESSO input format:
```
&SYSTEM
  ibrav = 0, nat = 7, ntyp = 3
/
ATOMIC_SPECIES
Ho 164.93 Ho.upf
Rh 102.91 Rh.upf
Ti 47.87 Ti.upf
CELL_PARAMETERS angstrom
4.366 0.000 1.364
1.970 3.896 1.364
-0.046 -0.029 7.818
ATOMIC_POSITIONS crystal
Ho 0.240 0.240 0.280
Rh 0.631 0.631 0.106
Ho 0.760 0.760 0.720
Rh 0.369 0.369 0.894
Rh 0.886 0.886 0.342
Rh 0.114 0.114 0.658
Ti 0.000 0.000 0.000
```

No. 8
Density functional theory data (GGA-PBE) for crystalline Tm4AlCu at its relaxed geometry. Values from VASP.

Summary:
The energy of formation from the pure elements is -0.900 eV/f.u. Its space group is C2/c (15). The total energy comes out at -26.62 eV/f.u.

The structure in Quantum ESPRESSO input format:
```
&SYSTEM
  ibrav = 0, nat = 12, ntyp = 3
/
ATOMIC_SPECIES
Cu 63.55 Cu.upf
Tm 168.93 Tm.upf
Al 26.98 Al.upf
CELL_PARAMETERS angstrom
-2.954 -1.526 -4.453
6.737 -5.141 0.487
-5.390 -0.893 5.752
ATOMIC_POSITIONS crystal
Cu 0.249 0.999 0.999
Tm 0.934 0.782 0.153
Cu 0.751 0.001 0.001
Tm 0.230 0.295 0.362
Al 0.372 0.622 0.244
Tm 0.719 0.372 0.153
Tm 0.281 0.628 0.847
Tm 0.770 0.705 0.638
Tm 0.066 0.218 0.847
Tm 0.631 0.066 0.362
Tm 0.369 0.934 0.638
Al 0.628 0.378 0.756
```